Entry 1:
An optimized crystal structure of EuInSn2. Source: Alexandria, functional GGA-PBE.

Geometry as POSCAR:
```
EuInSn2
1.0
4.642 0.000 0.000
0.000 4.820 0.000
0.000 0.000 4.820
Eu Sn In
1 2 1
Direct
0.500 0.500 0.500 Eu
0.000 0.000 0.500 Sn
0.000 0.500 0.000 Sn
0.500 0.000 0.000 In
```

Calculated density   7.763 Mg/m³
ΔE_f   -0.45 eV per atom
N(E_F)   2.6 states/eV/f.u.
M_tot   6.91 Bohr magnetons per cell

---

Entry 2:
An optimized crystal structure of YBeIn. Source: Alexandria, functional GGA-PBE.

Geometry as POSCAR:
```
YBeIn
1.0
5.422 0.006 0.000
-1.712 6.143 -0.029
0.000 1.295 3.745
Y Be In
2 2 2
Direct
0.826 0.192 0.129 Y
0.225 0.665 0.393 Y
0.385 0.387 0.031 Be
0.666 0.470 0.490 Be
0.759 0.738 0.856 In
0.292 0.119 0.666 In
```

Energy above the lowest structure with this stoichiometry   49.0 meV/atom
Calculated density   5.653 Mg/m³
ΔE_f   -0.22 eV per atom
N(E_F)   1.5 states/eV/f.u.
M_tot   0.00 Bohr magnetons per cell

---

Entry 3:
An optimized crystal structure of Nd2Zn2Pd3. Source: Alexandria, functional GGA-PBE.

Geometry as POSCAR:
```
Nd2Zn2Pd3
1.0
4.023 0.000 0.000
-2.011 5.274 0.108
0.000 -2.647 6.595
Nd Zn Pd
2 2 3
Direct
0.875 0.750 0.243 Nd
0.125 0.250 0.757 Nd
0.847 0.694 0.781 Zn
0.153 0.306 0.219 Zn
0.500 0.000 0.000 Pd
0.625 0.251 0.439 Pd
0.375 0.749 0.561 Pd
```

Energy above the lowest structure with this stoichiometry   26.1 meV/atom
Calculated density   8.694 Mg/m³
ΔE_f   -0.66 eV per atom
N(E_F)   4.0 states/eV/f.u.
M_tot   0.00 Bohr magnetons per cell

---

Entry 4:
An optimized crystal structure of LuPaMnFe. Source: Alexandria, functional GGA-PBE.

Geometry as POSCAR:
```
LuPaMnFe
1.0
4.683 0.000 0.000
2.341 4.055 0.000
2.341 1.352 3.823
Pa Lu Fe Mn
1 1 1 1
Direct
0.250 0.250 0.250 Pa
0.750 0.750 0.750 Lu
0.500 0.500 0.500 Fe
0.000 0.000 0.000 Mn
```

Calculated density   11.818 Mg/m³
ΔE_f   0.05 eV per atom
N(E_F)   4.6 states/eV/f.u.
M_tot   1.88 Bohr magnetons per cell

---

The calculation returns the following energy values, one per record and in order: -5.706; -4.528; -4.608; -7.858 eV/atom.